Te2IrCl: optimized geometry, PBEsol.

Cell: 3.5095 5.6735 5.6735 Å, 71.45 71.98 71.98°
With the nearest neighbours (Å) after each atom.
Element x y z (fractional)
Ir 0.0000 0.5000 0.5000  4 Te 2.56
Te 0.2805 0.7195 0.7195  2 Ir 2.56
Te 0.7195 0.2805 0.2805  2 Ir 2.56
Cl 0.5000 0.0000 0.0000  4 Te 2.96

Summary:
- ΔE_f (raw) (eV per atom) = 0.324

***

PW3: optimized geometry, PBEsol.

Cell: 4.8136 7.3255 7.3255 Å, 83.80 70.82 70.82°
With the nearest neighbours (Å) after each atom.
Element x y z (fractional)
P 0.0002 0.2919 0.7078  8 W 2.42-2.50
P 0.9999 0.7081 0.2922  8 W 2.42-2.50
P 0.2920 0.7078 0.7081  8 W 2.42-2.50
P 0.7079 0.2922 0.2919  8 W 2.42-2.50
W 0.3616 0.9999 0.8124  2 P 2.50, 1 W 2.60
W 0.1740 0.0001 0.1876  2 P 2.50, 1 W 2.60
W 0.8260 0.8124 0.0001  2 P 2.50, 1 W 2.60
W 0.6385 0.1876 0.9999  2 P 2.50, 1 W 2.60
W 0.5001 0.3542 0.6456  4 P 2.48
W 0.5000 0.6458 0.3544  4 P 2.48
W 0.8543 0.6456 0.6458  4 P 2.48
W 0.1456 0.3544 0.3542  4 P 2.48
W 0.9720 0.9998 0.5998  2 P 2.42
W 0.5717 0.0002 0.4002  2 P 2.42
W 0.4281 0.5998 0.0002  2 P 2.42
W 0.0282 0.4002 0.9998  2 P 2.42

Summary:
- ΔE_f (eV per formula unit) = -0.70

***

Dy4MgIr: optimized geometry, PBEsol.

Cell: 9.5529 9.5529 9.5529 Å, 60.00 60.00 60.00°
With the nearest neighbours (Å) after each atom.
Element x y z (fractional)
Dy 0.6533 0.6533 0.0400  3 Ir 2.78
Dy 0.0400 0.6533 0.6533  3 Ir 2.78
Dy 0.6533 0.6533 0.6533  3 Ir 2.78
Dy 0.6533 0.0400 0.6533  3 Ir 2.78
Dy 0.8126 0.1874 0.1874  2 Ir 2.77
Dy 0.1874 0.8126 0.8126  2 Ir 2.77
Dy 0.8126 0.8126 0.1874  2 Ir 2.77
Dy 0.1874 0.1874 0.8126  2 Ir 2.77
Dy 0.1874 0.8126 0.1874  2 Ir 2.77
Dy 0.8126 0.1874 0.8126  2 Ir 2.77
Dy 0.4374 0.0626 0.0626  2 Mg 3.26, 2 Ir 3.45, 10 Dy 3.45-3.58
Dy 0.0626 0.4374 0.4374  2 Mg 3.26, 2 Ir 3.45, 10 Dy 3.45-3.58
Dy 0.4374 0.4374 0.0626  2 Mg 3.26, 2 Ir 3.45, 10 Dy 3.45-3.58
Dy 0.0626 0.0626 0.4374  2 Mg 3.26, 2 Ir 3.45, 10 Dy 3.45-3.58
Dy 0.0626 0.4374 0.0626  2 Mg 3.26, 2 Ir 3.45, 10 Dy 3.45-3.58
Dy 0.4374 0.0626 0.4374  2 Mg 3.26, 2 Ir 3.45, 10 Dy 3.45-3.58
Mg 0.4202 0.4202 0.7395  3 Mg 3.05, 3 Dy 3.26
Mg 0.7395 0.4202 0.4202  3 Mg 3.05, 3 Dy 3.26
Mg 0.4202 0.4202 0.4202  3 Mg 3.05, 3 Dy 3.26
Mg 0.4202 0.7395 0.4202  3 Mg 3.05, 3 Dy 3.26
Ir 0.8585 0.8585 0.4246  6 Dy 2.77-2.78
Ir 0.4246 0.8585 0.8585  6 Dy 2.77-2.78
Ir 0.8585 0.8585 0.8585  6 Dy 2.77-2.78
Ir 0.8585 0.4246 0.8585  6 Dy 2.77-2.78

Summary:
- ΔE_f (eV per formula unit) = -2.46

***

Sr2Ni3: optimized geometry, PBEsol.

Cell: 4.0436 4.0436 8.5007 Å, 90.00 90.00 120.00°
With the nearest neighbours (Å) after each atom.
Element x y z (fractional)
Sr 0.3333 0.6667 0.7200  1 Ni 2.73
Sr 0.6667 0.3333 0.2800  1 Ni 2.73
Ni 0.0000 0.0000 0.0000  6 Ni 2.36
Ni 0.3333 0.6667 0.0412  6 Ni 2.36-2.44
Ni 0.6667 0.3333 0.9588  6 Ni 2.36-2.44

Summary:
- ΔE_f (eV per formula unit) = -0.38

***

Ba3ScB: optimized geometry, PBEsol.

Cell: 5.8653 5.8653 5.8653 Å, 90.00 90.00 90.00°
With the nearest neighbours (Å) after each atom.
Element x y z (fractional)
Sc 0.5000 0.5000 0.5000  12 Ba 4.15
B 0.0000 0.0000 0.0000  6 Ba 2.93
Ba 0.0000 0.5000 0.0000  2 B 2.93
Ba 0.0000 0.0000 0.5000  2 B 2.93
Ba 0.5000 0.0000 0.0000  2 B 2.93

Summary:
- ΔE_f (eV per formula unit) = 3.49

***

CoCu2Ru: optimized geometry, PBEsol.

Cell: 2.4523 4.2770 4.5198 Å, 90.00 94.87 90.00°
With the nearest neighbours (Å) after each atom.
Element x y z (fractional)
Co 0.0000 0.5000 0.5000  2 Co 2.45, 4 Ru 2.48-2.66, 4 Cu 2.48
Cu 0.7931 0.0000 0.7441  5 Cu 2.45-2.53, 2 Co 2.48, 2 Ru 2.56
Cu 0.2069 0.0000 0.2559  5 Cu 2.45-2.53, 2 Co 2.48, 2 Ru 2.56
Ru 0.5000 0.5000 0.0000  2 Ru 2.45, 4 Co 2.48-2.66, 4 Cu 2.56

Summary:
- ΔE_f (eV per formula unit) = 1.21